[1]
## NaCa2Pd2 (PBE)

Data for a relaxed NaCa2Pd2 crystal.

a b c (Å): 3.943 3.943 18.989
angles (deg): 90.00 90.00 90.00
Atoms (fractional coordinates):
Na 0.000 0.000 0.000
Na 0.500 0.500 0.500
Ca 0.000 0.000 0.360
Ca 0.000 0.000 0.640
Ca 0.500 0.500 0.140
Ca 0.500 0.500 0.860
Pd 0.000 0.500 0.250
Pd 0.000 0.500 0.750
Pd 0.500 0.000 0.250
Pd 0.500 0.000 0.750

E above lowest polymorph (eV per atom): 0.2359
Density of states at the Fermi level (states/eV/f.u.): 3.7
Spin magnetization (μB/f.u.): 0.00
Formation energy from the elements (eV per atom): -0.26
Space-group type: No. 139

=====

[2]
## Ho12Er2Tm (PBE)

Data for a relaxed Ho12Er2Tm crystal.

a b c (Å): 3.584 5.614 23.225
angles (deg): 90.00 94.11 90.00
Atoms (fractional coordinates):
Ho 0.033 0.000 0.066
Ho 0.076 0.500 0.146
Ho 0.163 0.000 0.322
Ho 0.213 0.500 0.424
Ho 0.278 0.000 0.558
Ho 0.402 0.000 0.807
Ho 0.598 0.000 0.193
Ho 0.722 0.000 0.442
Ho 0.787 0.500 0.576
Ho 0.837 0.000 0.678
Ho 0.924 0.500 0.854
Ho 0.967 0.000 0.934
Er 0.355 0.500 0.716
Er 0.645 0.500 0.284
Tm 0.500 0.500 0.000

Density of states at the Fermi level (states/eV/f.u.): 24.8
Spin magnetization (μB/f.u.): 0.00
Formation energy from the elements (eV per atom): 0.08
Space-group type: No. 10

=====

[3]
## KMgBe2 (PBE)

Data for a relaxed KMgBe2 crystal.

a b c (Å): 4.230 3.638 13.298
angles (deg): 90.00 90.83 90.00
Atoms (fractional coordinates):
K 0.000 0.000 0.000
K 0.480 0.500 0.695
Mg 0.510 0.500 0.201
Mg 0.970 0.000 0.495
Be 0.108 0.500 0.354
Be 0.365 0.000 0.341
Be 0.615 0.500 0.385
Be 0.858 0.000 0.311

Density of states at the Fermi level (states/eV/f.u.): 1.4
Spin magnetization (μB/f.u.): 0.00
Formation energy from the elements (eV per atom): 0.23
Space-group type: No. 6

=====

[4]
## ThZrTiZn (PBE)

Data for a relaxed ThZrTiZn crystal.

a b c (Å): 7.038 7.038 7.038
angles (deg): 90.00 90.00 90.00
Atoms (fractional coordinates):
Th 0.000 0.000 0.000
Th 0.000 0.500 0.500
Th 0.500 0.000 0.500
Th 0.500 0.500 0.000
Zr 0.000 0.000 0.500
Zr 0.000 0.500 0.000
Zr 0.500 0.000 0.000
Zr 0.500 0.500 0.500
Ti 0.250 0.250 0.250
Ti 0.250 0.750 0.750
Ti 0.750 0.250 0.750
Ti 0.750 0.750 0.250
Zn 0.250 0.250 0.750
Zn 0.250 0.750 0.250
Zn 0.750 0.250 0.250
Zn 0.750 0.750 0.750

Density of states at the Fermi level (states/eV/f.u.): 1.7
Spin magnetization (μB/f.u.): 0.00
Formation energy from the elements (eV per atom): 0.01
Space-group type: No. 216

=====

[5]
## KNa2Tl2Cd2 (PBE)

Data for a relaxed KNa2Tl2Cd2 crystal.

a b c (Å): 9.125 5.288 9.647
angles (deg): 90.00 109.00 90.00
Atoms (fractional coordinates):
K 0.000 0.000 0.000
K 0.500 0.500 0.000
Na 0.138 0.000 0.413
Na 0.362 0.500 0.587
Na 0.638 0.500 0.413
Na 0.862 0.000 0.587
Tl 0.066 0.500 0.698
Tl 0.434 0.000 0.302
Tl 0.566 0.000 0.698
Tl 0.934 0.500 0.302
Cd 0.246 0.500 0.238
Cd 0.254 0.000 0.762
Cd 0.746 0.000 0.238
Cd 0.754 0.500 0.762

Density of states at the Fermi level (states/eV/f.u.): 2.1
Spin magnetization (μB/f.u.): 0.00
Formation energy from the elements (eV per atom): -0.10
Space-group type: No. 12

=====

[6]
## Ba2Y2Mg (PBE)

Data for a relaxed Ba2Y2Mg crystal.

a b c (Å): 8.355 8.355 6.118
angles (deg): 90.00 90.00 90.00
Atoms (fractional coordinates):
Ba 0.170 0.330 0.000
Ba 0.330 0.830 0.000
Ba 0.670 0.170 0.000
Ba 0.830 0.670 0.000
Y 0.143 0.643 0.500
Y 0.357 0.143 0.500
Y 0.643 0.857 0.500
Y 0.857 0.357 0.500
Mg 0.000 0.000 0.500
Mg 0.500 0.500 0.500

Density of states at the Fermi level (states/eV/f.u.): 9.2
Spin magnetization (μB/f.u.): 1.60
Formation energy from the elements (eV per atom): 0.30
Space-group type: No. 127